(1)
Crystalline ScAlSe at its relaxed geometry, computed with PBE.

Offset from the most stable computed form = 0.000 eV per atom
Energy = -5.394 eV per atom
Raw formation energy = -0.874 eV/atom

abc: 4.4529 4.4529 24.8868
angles: 90.00 90.00 120.00
Space group R-3m (No. 166, hexagonal axes)
Inequivalent atoms, fractional coordinates:
Sc 0.0000 0.0000 0.0660
Al 0.0000 0.0000 0.3302
Se 0.0000 0.0000 0.2270

=====

(2)
Crystalline ScAl2Se at its relaxed geometry, computed with PBE.

Energy = -4.743 eV per atom
Raw formation energy = -0.418 eV/atom

abc: 3.7804 3.7804 5.6793
angles: 90.00 90.00 90.00
Space group P4/mmm (No. 123)
Inequivalent atoms, fractional coordinates:
Sc 0.0000 0.0000 0.0000
Al 0.0000 0.5000 0.5000
Se 0.5000 0.5000 0.0000

=====

(3)
Crystalline ScAlSe3 at its relaxed geometry, computed with PBE.

Offset from the most stable computed form = 0.000 eV per atom
Energy = -5.389 eV per atom
Raw formation energy = -1.284 eV/atom

abc: 3.8838 22.8856 6.4343
angles: 90.00 90.00 90.00
Space group Ama2 (No. 40)
Inequivalent atoms, fractional coordinates:
Sc 0.2500 0.1755 0.0000
Al 0.2500 0.3692 0.9244
Se 0.2500 0.0826 0.2737
Se 0.2500 0.2747 0.7499
Se 0.2500 0.3782 0.2918